A plane-wave DFT calculation with PBE with a Hubbard U was carried out for a relaxed structure of AlCo3F.

Cell and atoms, written as CIF:
```
data_AlCo3F
_cell_length_a 4.102
_cell_length_b 4.102
_cell_length_c 4.102
_cell_angle_alpha 90.00
_cell_angle_beta 90.00
_cell_angle_gamma 90.00
_symmetry_space_group_name_H-M 'P m -3 m'
_symmetry_Int_Tables_number 221
_symmetry_space_group_name_Hall '-P 4 2 3'
loop_
_atom_site_label
_atom_site_type_symbol
_atom_site_fract_x
_atom_site_fract_y
_atom_site_fract_z
Al1 Al 0.000 0.000 0.000
Co1 Co 0.000 0.500 0.500
F1 F 0.500 0.500 0.500
```

As for the calculated density: 5.4 g/cm³. The value obtained for the magnetization is 5.357 μB per cell. The density of states at the Fermi level comes out at 1.72 states/eV/cell. As for the crystal system: cubic. Its uncorrected energy is -4.00 eV/atom.


A plane-wave DFT calculation with PBE with a Hubbard U was carried out for a relaxed structure of Al2CoF.

Cell and atoms, written as CIF:
```
data_Al2CoF
_cell_length_a 5.821
_cell_length_b 5.821
_cell_length_c 6.147
_cell_angle_alpha 90.00
_cell_angle_beta 90.00
_cell_angle_gamma 90.00
_symmetry_space_group_name_H-M 'I -4 2 d'
_symmetry_Int_Tables_number 122
_symmetry_space_group_name_Hall 'I -4 2bw'
loop_
_atom_site_label
_atom_site_type_symbol
_atom_site_fract_x
_atom_site_fract_y
_atom_site_fract_z
Al1 Al 0.220 0.750 0.125
Co1 Co 0.000 0.000 0.500
F1 F 0.000 0.000 0.000
```

As for the calculated density: 4.2 g/cm³. The value obtained for the magnetization is 0.000 μB per cell. The density of states at the Fermi level comes out at 1.10 states/eV/cell. As for the crystal system: tetragonal. Its uncorrected energy is -4.03 eV/atom.


A plane-wave DFT calculation with PBE with a Hubbard U was carried out for a relaxed structure of AlCo3F.

Cell and atoms, written as CIF:
```
data_AlCo3F
_cell_length_a 4.459
_cell_length_b 4.459
_cell_length_c 4.459
_cell_angle_alpha 90.00
_cell_angle_beta 90.00
_cell_angle_gamma 90.00
_symmetry_space_group_name_H-M 'P m -3 m'
_symmetry_Int_Tables_number 221
_symmetry_space_group_name_Hall '-P 4 2 3'
loop_
_atom_site_label
_atom_site_type_symbol
_atom_site_fract_x
_atom_site_fract_y
_atom_site_fract_z
Al1 Al 0.000 0.000 0.000
Co1 Co 0.000 0.000 0.500
F1 F 0.500 0.500 0.500
```

As for the calculated density: 4.2 g/cm³. The value obtained for the magnetization is 4.884 μB per cell. The density of states at the Fermi level comes out at 4.02 states/eV/cell. As for the crystal system: cubic. Its uncorrected energy is -3.19 eV/atom.


A plane-wave DFT calculation with PBE with a Hubbard U was carried out for a relaxed structure of Al2CoF8.

Cell and atoms, written as CIF:
```
data_Al2CoF8
_cell_length_a 11.253
_cell_length_b 5.616
_cell_length_c 5.312
_cell_angle_alpha 90.00
_cell_angle_beta 99.24
_cell_angle_gamma 90.00
_symmetry_space_group_name_H-M 'C 1 2/m 1'
_symmetry_Int_Tables_number 12
loop_
_symmetry_equiv_pos_as_xyz
'x,y,z'
'-x,-y,-z'
'-x,y,-z'
'x,-y,z'
'x+1/2,y+1/2,z'
'-x+1/2,-y+1/2,-z'
'-x+1/2,y+1/2,-z'
'x+1/2,-y+1/2,z'
loop_
_atom_site_label
_atom_site_type_symbol
_atom_site_fract_x
_atom_site_fract_y
_atom_site_fract_z
Al1 Al 0.173 0.000 0.161
Co1 Co 0.000 0.000 0.500
F1 F 0.099 0.000 0.852
F2 F 0.118 0.222 0.335
F3 F 0.181 0.500 0.860
```

As for the calculated density: 2.7 g/cm³. The value obtained for the magnetization is 6.000 μB per cell. The density of states at the Fermi level comes out at 0.00 states/eV/cell. As for the crystal system: monoclinic. Its uncorrected energy is -5.47 eV/atom.


A plane-wave DFT calculation with PBE with a Hubbard U was carried out for a relaxed structure of Al2CoF.

Cell and atoms, written as CIF:
```
data_Al2CoF
_cell_length_a 5.896
_cell_length_b 5.896
_cell_length_c 5.896
_cell_angle_alpha 90.00
_cell_angle_beta 90.00
_cell_angle_gamma 90.00
_symmetry_space_group_name_H-M 'F m -3 m'
_symmetry_Int_Tables_number 225
_symmetry_space_group_name_Hall '-F 4 2 3'
loop_
_atom_site_label
_atom_site_type_symbol
_atom_site_fract_x
_atom_site_fract_y
_atom_site_fract_z
Al1 Al 0.250 0.250 0.250
Co1 Co 0.000 0.000 0.000
F1 F 0.000 0.000 0.500
```

As for the calculated density: 4.3 g/cm³. The value obtained for the magnetization is 0.000 μB per cell. The density of states at the Fermi level comes out at 6.42 states/eV/cell. As for the crystal system: cubic. Its uncorrected energy is -3.81 eV/atom.


A plane-wave DFT calculation with PBE with a Hubbard U was carried out for a relaxed structure of AlCoGeF2.

Cell and atoms, written as CIF:
```
data_AlCoGeF2
_cell_length_a 3.884
_cell_length_b 3.884
_cell_length_c 5.455
_cell_angle_alpha 90.00
_cell_angle_beta 90.00
_cell_angle_gamma 90.00
_symmetry_space_group_name_H-M 'P 4/m m m'
_symmetry_Int_Tables_number 123
_symmetry_space_group_name_Hall '-P 4 2'
loop_
_atom_site_label
_atom_site_type_symbol
_atom_site_fract_x
_atom_site_fract_y
_atom_site_fract_z
Al1 Al 0.000 0.000 0.000
Co1 Co 0.500 0.500 0.500
Ge1 Ge 0.500 0.500 0.000
F1 F 0.000 0.500 0.500
```

As for the calculated density: 4.0 g/cm³. The value obtained for the magnetization is 2.317 μB per cell. The density of states at the Fermi level comes out at 1.66 states/eV/cell. As for the crystal system: tetragonal. Its uncorrected energy is -4.31 eV/atom.


A plane-wave DFT calculation with PBE with a Hubbard U was carried out for a relaxed structure of AlCoHgF2.

Cell and atoms, written as CIF:
```
data_AlCoHgF2
_cell_length_a 4.491
_cell_length_b 4.491
_cell_length_c 5.409
_cell_angle_alpha 90.00
_cell_angle_beta 90.00
_cell_angle_gamma 90.00
_symmetry_space_group_name_H-M 'P 4/m m m'
_symmetry_Int_Tables_number 123
_symmetry_space_group_name_Hall '-P 4 2'
loop_
_atom_site_label
_atom_site_type_symbol
_atom_site_fract_x
_atom_site_fract_y
_atom_site_fract_z
Al1 Al 0.000 0.000 0.000
Co1 Co 0.500 0.500 0.000
Hg1 Hg 0.500 0.500 0.500
F1 F 0.000 0.500 0.500
```

As for the calculated density: 4.9 g/cm³. The value obtained for the magnetization is 2.230 μB per cell. The density of states at the Fermi level comes out at 4.07 states/eV/cell. As for the crystal system: tetragonal. Its uncorrected energy is -2.61 eV/atom.


A plane-wave DFT calculation with PBE with a Hubbard U was carried out for a relaxed structure of AlCoHgF2.

Cell and atoms, written as CIF:
```
data_AlCoHgF2
_cell_length_a 3.956
_cell_length_b 3.956
_cell_length_c 5.745
_cell_angle_alpha 90.00
_cell_angle_beta 90.00
_cell_angle_gamma 90.00
_symmetry_space_group_name_H-M 'P 4/m m m'
_symmetry_Int_Tables_number 123
_symmetry_space_group_name_Hall '-P 4 2'
loop_
_atom_site_label
_atom_site_type_symbol
_atom_site_fract_x
_atom_site_fract_y
_atom_site_fract_z
Al1 Al 0.000 0.000 0.000
Co1 Co 0.500 0.500 0.500
Hg1 Hg 0.500 0.500 0.000
F1 F 0.000 0.500 0.500
```

As for the calculated density: 6.0 g/cm³. The value obtained for the magnetization is 2.550 μB per cell. The density of states at the Fermi level comes out at 1.52 states/eV/cell. As for the crystal system: tetragonal. Its uncorrected energy is -3.50 eV/atom.


A plane-wave DFT calculation with PBE with a Hubbard U was carried out for a relaxed structure of AlCoHgF6.

Cell and atoms, written as CIF:
```
data_AlCoHgF6
_cell_length_a 5.2643
_cell_length_b 5.2643
_cell_length_c 11.4927
_cell_angle_alpha 90.00
_cell_angle_beta 90.00
_cell_angle_gamma 120.00
_symmetry_space_group_name_H-M 'P -3 1 c'
_symmetry_Int_Tables_number 163
_symmetry_space_group_name_Hall '-P 3 2c'
loop_
_atom_site_label
_atom_site_type_symbol
_atom_site_fract_x
_atom_site_fract_y
_atom_site_fract_z
Al1 Al 0.3333 0.6667 0.2500
Co1 Co 0.3333 0.6667 0.7500
Hg1 Hg 0.0000 0.0000 0.0000
F1 F 0.0319 0.3899 0.1603
```

As for the calculated density: 4.8 g/cm³. The value obtained for the magnetization is 7.526 μB per cell. The density of states at the Fermi level comes out at 5.17 states/eV/cell. As for the crystal system: trigonal. Its uncorrected energy is -4.69 eV/atom.


A plane-wave DFT calculation with PBE with a Hubbard U was carried out for a relaxed structure of AlInCoF2.

Cell and atoms, written as CIF:
```
data_AlInCoF2
_cell_length_a 4.026
_cell_length_b 4.026
_cell_length_c 5.380
_cell_angle_alpha 90.00
_cell_angle_beta 90.00
_cell_angle_gamma 90.00
_symmetry_space_group_name_H-M 'P 4/m m m'
_symmetry_Int_Tables_number 123
_symmetry_space_group_name_Hall '-P 4 2'
loop_
_atom_site_label
_atom_site_type_symbol
_atom_site_fract_x
_atom_site_fract_y
_atom_site_fract_z
Al1 Al 0.000 0.000 0.000
In1 In 0.500 0.500 0.000
Co1 Co 0.000 0.000 0.500
F1 F 0.000 0.500 0.500
```

As for the calculated density: 4.5 g/cm³. The value obtained for the magnetization is 2.281 μB per cell. The density of states at the Fermi level comes out at 1.69 states/eV/cell. As for the crystal system: tetragonal. Its uncorrected energy is -3.96 eV/atom.


A plane-wave DFT calculation with PBE with a Hubbard U was carried out for a relaxed structure of KAlCoF6.

Cell and atoms, written as CIF:
```
data_KAlCoF6
_cell_length_a 7.135
_cell_length_b 7.151
_cell_length_c 10.162
_cell_angle_alpha 90.00
_cell_angle_beta 90.00
_cell_angle_gamma 90.00
_symmetry_space_group_name_H-M 'I m m a'
_symmetry_Int_Tables_number 74
_symmetry_space_group_name_Hall '-I 2b 2'
loop_
_atom_site_label
_atom_site_type_symbol
_atom_site_fract_x
_atom_site_fract_y
_atom_site_fract_z
K1 K 0.000 0.250 0.132
Al1 Al 0.250 0.250 0.750
Co1 Co 0.000 0.000 0.500
F1 F 0.000 0.250 0.408
F2 F 0.000 0.250 0.790
F3 F 0.218 0.069 0.627
```

As for the calculated density: 3.1 g/cm³. The value obtained for the magnetization is 12.000 μB per cell. The density of states at the Fermi level comes out at 0.00 states/eV/cell. As for the crystal system: orthorhombic. Its uncorrected energy is -5.31 eV/atom.


A plane-wave DFT calculation with PBE with a Hubbard U was carried out for a relaxed structure of K2AlCoF6.

Cell and atoms, written as CIF:
```
data_K2AlCoF6
_cell_length_a 5.776
_cell_length_b 5.776
_cell_length_c 8.194
_cell_angle_alpha 90.00
_cell_angle_beta 90.00
_cell_angle_gamma 90.00
_symmetry_space_group_name_H-M 'I 4/m m m'
_symmetry_Int_Tables_number 139
_symmetry_space_group_name_Hall '-I 4 2'
loop_
_atom_site_label
_atom_site_type_symbol
_atom_site_fract_x
_atom_site_fract_y
_atom_site_fract_z
K1 K 0.000 0.500 0.250
Al1 Al 0.000 0.000 0.000
Co1 Co 0.000 0.000 0.500
F1 F 0.000 0.000 0.224
F2 F 0.225 0.225 0.000
```

As for the calculated density: 3.4 g/cm³. The value obtained for the magnetization is 4.000 μB per cell. As for the crystal system: tetragonal. Its uncorrected energy is -5.01 eV/atom.